# LiRh2Pb

LiRh2Pb after structural relaxation (PBE-GGA, Alexandria).

Unit cell a=8.024 b=8.024 c=8.024 alpha=22.99 beta=22.99 gamma=22.99
Element x y z (fractional)
Rh  0.996  0.996  0.996
Pb  0.750  0.750  0.750
Rh  0.504  0.504  0.504
Li  0.250  0.250  0.250

## Properties
The calculated formation energy is 20 kJ per mole of atoms. The value obtained for the density of states at the Fermi level is 1.013 states/eV/atom. The symmetry is No. 166. As for the total DFT energy (no corrections): -19.50 eV for the cell shown.